Entry 1:
Entry from the Alexandria database: an optimized crystal structure of Nd5Sn4Hg (PBE).

## Properties
ΔH_f (0 K) in meV per atom: -534
D(E_F) in states/eV/cell: 12.3

Unit cell a=10.0320 b=10.0320 c=6.4371 alpha=90.00 beta=90.00 gamma=90.00
Last column: nearest neighbours and their distance in Å.
Space group I4 (No. 79)
Asymmetric unit:
Nd 0.0000 0.0000 0.0000  2 Hg 3.15-3.29, 4 Sn 3.20
Nd 0.0978 0.6895 0.3694  5 Sn 3.15-3.24, 1 Hg 3.39
Sn 0.1038 0.7105 0.8667  6 Nd 3.15-3.24
Hg 0.0000 0.0000 0.5105  6 Nd 3.15-3.39

---

Entry 2:
Entry from the Alexandria database: an optimized crystal structure of NdSnHg2 (PBE).

## Properties
ΔH_f (0 K) in meV per atom: -373
D(E_F) in states/eV/cell: 4.5

Unit cell a=4.8559 b=4.8559 c=15.8512 alpha=90.00 beta=90.00 gamma=120.00
Last column: nearest neighbours and their distance in Å.
Space group R-3m (No. 166, hexagonal axes)
Asymmetric unit:
Nd 0.0000 0.0000 0.0000  6 Hg 3.18
Sn 0.0000 0.0000 0.5000  6 Hg 3.03
Hg 0.0000 0.0000 0.2390  3 Sn 3.03, 3 Nd 3.18

---

Entry 3:
Entry from the Alexandria database: an optimized crystal structure of Nd4SnHg3 (PBE).

## Properties
ΔH_f (0 K) in meV per atom: -539
D(E_F) in states/eV/cell: 25.2

Unit cell a=5.4352 b=5.4352 c=26.8074 alpha=90.00 beta=90.00 gamma=120.00
Last column: nearest neighbours and their distance in Å.
Space group R-3m (No. 166, hexagonal axes)
Asymmetric unit:
Nd 0.0000 0.0000 0.1248  7 Hg 3.24-3.33, 1 Sn 3.34
Nd 0.0000 0.0000 0.3748  3 Sn 3.33, 5 Hg 3.36-3.46
Sn 0.0000 0.0000 0.0000  8 Nd 3.33-3.34
Hg 0.0000 0.0000 0.2458  8 Nd 3.24-3.46
Hg 0.0000 0.0000 0.5000  8 Nd 3.33-3.36

---

Entry 4:
Entry from the Alexandria database: an optimized crystal structure of NdSnHg4 (PBE).

## Properties
ΔH_f (0 K) in meV per atom: -280
D(E_F) in states/eV/cell: 5.1
Energy above the most stable polymorph in this dataset in eV per atom: 0.0000

Unit cell a=4.6298 b=14.0705 c=4.6836 alpha=90.00 beta=90.00 gamma=90.00
Last column: nearest neighbours and their distance in Å.
Space group Cmmm (No. 65)
Asymmetric unit:
Nd 0.0000 0.0000 0.0000  4 Sn 3.29, 8 Hg 3.33-3.34
Sn 0.0000 0.5000 0.5000  4 Nd 3.29, 8 Hg 3.31-3.36
Hg 0.0000 0.1680 0.5000  8 Hg 3.25-3.29, 2 Sn 3.31, 2 Nd 3.33
Hg 0.0000 0.3286 0.0000  8 Hg 3.20-3.29, 2 Nd 3.34, 2 Sn 3.36

---

Entry 5:
Entry from the Alexandria database: an optimized crystal structure of Nd2Sn3Hg (PBE).

## Properties
ΔH_f (0 K) in meV per atom: -453
D(E_F) in states/eV/cell: 2.7

Unit cell a=4.0457 b=4.8710 c=8.5559 alpha=90.00 beta=90.00 gamma=90.00
Last column: nearest neighbours and their distance in Å.
Space group Pmm2 (No. 25)
Asymmetric unit:
Nd 0.0000 0.0000 0.0000  8 Sn 3.41-3.54, 4 Hg 3.52
Nd 0.0000 0.5000 0.4796  10 Sn 3.43-3.52, 2 Hg 3.54
Sn 0.5000 0.0000 0.3252  3 Sn 2.87
Sn 0.5000 0.0000 0.6608  2 Hg 2.79, 1 Sn 2.87
Sn 0.5000 0.5000 0.1479  1 Hg 2.81, 2 Sn 2.87
Hg 0.5000 0.5000 0.8189  3 Sn 2.79-2.81

---

Entry 6:
Entry from the Alexandria database: an optimized crystal structure of Nd2Sn4Hg (PBE).

## Properties
ΔH_f (0 K) in meV per atom: -469
D(E_F) in states/eV/cell: 15.6
Energy above the most stable polymorph in this dataset in eV per atom: 0.0000

Unit cell a=9.2538 b=9.2676 c=9.4526 alpha=90.00 beta=90.00 gamma=90.00
Last column: nearest neighbours and their distance in Å.
Space group Fmmm (No. 69)
Asymmetric unit:
Nd 0.2500 0.2500 0.0000  2 Hg 3.27, 8 Sn 3.31
Sn 0.0000 0.2500 0.2500  4 Sn 3.27, 4 Nd 3.31, 2 Hg 3.31
Sn 0.2500 0.0000 0.2500  4 Sn 3.27, 2 Hg 3.31, 4 Nd 3.31
Hg 0.0000 0.0000 0.0000  4 Nd 3.27, 8 Sn 3.31

---

Entry 7:
Entry from the Alexandria database: an optimized crystal structure of SrNd2Sn2Hg2 (PBE).

## Properties
ΔH_f (0 K) in meV per atom: -385
D(E_F) in states/eV/cell: 19.5

Unit cell a=5.1212 b=5.1212 c=28.7239 alpha=90.00 beta=90.00 gamma=120.00
Last column: nearest neighbours and their distance in Å.
Space group R-3m (No. 166, hexagonal axes)
Asymmetric unit:
Sr 0.0000 0.0000 0.0000  6 Sn 3.63, 2 Nd 3.80, 6 Hg 4.04
Nd 0.0000 0.0000 0.1322  3 Hg 3.14, 3 Sn 3.41
Sn 0.0000 0.0000 0.2601  3 Hg 3.03
Hg 0.0000 0.0000 0.4292  3 Sn 3.03, 3 Nd 3.14

---

Entry 8:
Entry from the Alexandria database: an optimized crystal structure of TbNdSnHg (PBE).

## Properties
ΔH_f (0 K) in meV per atom: -585
D(E_F) in states/eV/cell: 15.2
Energy above the most stable polymorph in this dataset in eV per atom: 0.0000

Unit cell a=7.6066 b=7.6066 c=7.6066 alpha=90.00 beta=90.00 gamma=90.00
Last column: nearest neighbours and their distance in Å.
Space group F-43m (No. 216)
Asymmetric unit:
Tb 0.0000 0.0000 0.0000  4 Hg 3.29, 4 Sn 3.29
Nd 0.0000 0.0000 0.5000  4 Hg 3.29, 4 Sn 3.29
Sn 0.2500 0.2500 0.2500  4 Tb 3.29, 4 Nd 3.29
Hg 0.2500 0.2500 0.7500  4 Tb 3.29, 4 Nd 3.29

---

Entry 9:
Entry from the Alexandria database: an optimized crystal structure of TbNdSnHg (PBE).

## Properties
ΔH_f (0 K) in meV per atom: -574
D(E_F) in states/eV/cell: 3.2
Energy above the most stable polymorph in this dataset in eV per atom: 0.0115

Unit cell a=3.8366 b=3.8366 c=7.4972 alpha=90.00 beta=90.00 gamma=90.00
Last column: nearest neighbours and their distance in Å.
Space group P4mm (No. 99)
Asymmetric unit:
Tb 0.0000 0.0000 0.0000  4 Hg 3.22, 4 Sn 3.27
Nd 0.0000 0.0000 0.4923  4 Hg 3.35, 4 Sn 3.35, 1 Tb 3.69
Sn 0.5000 0.5000 0.7554  4 Tb 3.27, 4 Nd 3.35, 1 Hg 3.57
Hg 0.5000 0.5000 0.2310  4 Tb 3.22, 4 Nd 3.35, 1 Sn 3.57

---

Entry 10:
Entry from the Alexandria database: an optimized crystal structure of Nd4SnHgTe2 (PBE).

## Properties
D(E_F) in states/eV/cell: 13.1
E_tot in eV per atom: -4.7154

Unit cell a=6.3664 b=6.3664 c=12.7277 alpha=90.00 beta=90.00 gamma=90.00
Last column: nearest neighbours and their distance in Å.
Space group I-4m2 (No. 119)
Asymmetric unit:
Nd 0.0000 0.0000 0.2475  3 Te 3.15-3.18, 2 Sn 3.18, 1 Hg 3.21
Nd 0.0000 0.5000 0.5005  1 Sn 3.18, 2 Hg 3.18, 3 Te 3.18-3.19
Sn 0.0000 0.5000 0.7500  6 Nd 3.18
Hg 0.0000 0.0000 0.5000  6 Nd 3.18-3.21
Te 0.0000 0.0000 0.0000  6 Nd 3.15-3.18
Te 0.0000 0.5000 0.2500  6 Nd 3.18-3.19

---

Entry 11:
Entry from the Alexandria database: an optimized crystal structure of Nd2ThSn2Hg2 (PBE).

## Properties
ΔH_f (0 K) in meV per atom: -279
D(E_F) in states/eV/cell: 15.4

Unit cell a=5.0037 b=5.0037 c=28.2006 alpha=90.00 beta=90.00 gamma=120.00
Last column: nearest neighbours and their distance in Å.
Space group R-3m (No. 166, hexagonal axes)
Asymmetric unit:
Nd 0.0000 0.0000 0.1284  3 Hg 3.07
Th 0.0000 0.0000 0.0000  6 Sn 3.34, 2 Nd 3.62
Sn 0.0000 0.0000 0.2740  3 Hg 3.03, 3 Th 3.34
Hg 0.0000 0.0000 0.4248  3 Sn 3.03, 3 Nd 3.07

---

Entry 12:
Entry from the Alexandria database: an optimized crystal structure of NdThSnHg (PBE).

## Properties
ΔH_f (0 K) in meV per atom: -436
D(E_F) in states/eV/cell: 13.7

Unit cell a=7.7136 b=7.7136 c=7.7136 alpha=90.00 beta=90.00 gamma=90.00
Last column: nearest neighbours and their distance in Å.
Space group F-43m (No. 216)
Asymmetric unit:
Nd 0.0000 0.0000 0.0000  4 Hg 3.34, 4 Sn 3.34
Th 0.0000 0.0000 0.5000  4 Hg 3.34, 4 Sn 3.34
Sn 0.2500 0.2500 0.2500  4 Th 3.34, 4 Nd 3.34
Hg 0.2500 0.2500 0.7500  4 Th 3.34, 4 Nd 3.34

---

Entry 13:
Entry from the Alexandria database: an optimized crystal structure of NdTlSnHg (PBE).

## Properties
ΔH_f (0 K) in meV per atom: -429
D(E_F) in states/eV/cell: 1.9
Energy above the most stable polymorph in this dataset in eV per atom: 0.0000

Unit cell a=4.6584 b=4.7134 c=4.8893 alpha=90.00 beta=90.00 gamma=90.00
Last column: nearest neighbours and their distance in Å.
Space group Pmmm (No. 47)
Asymmetric unit:
Nd 0.0000 0.0000 0.0000  4 Sn 3.31, 4 Tl 3.38, 4 Hg 3.40
Tl 0.5000 0.0000 0.5000  4 Hg 3.31, 4 Nd 3.38, 4 Sn 3.40
Sn 0.5000 0.5000 0.0000  4 Nd 3.31, 4 Hg 3.38, 4 Tl 3.40
Hg 0.0000 0.5000 0.5000  4 Tl 3.31, 4 Sn 3.38, 4 Nd 3.40

---

Entry 14:
Entry from the Alexandria database: an optimized crystal structure of NdTlSnHg (PBE).

## Properties
ΔH_f (0 K) in meV per atom: -253
D(E_F) in states/eV/cell: 12.1
Energy above the most stable polymorph in this dataset in eV per atom: 0.1753

Unit cell a=7.7011 b=7.7011 c=7.7011 alpha=90.00 beta=90.00 gamma=90.00
Last column: nearest neighbours and their distance in Å.
Space group F-43m (No. 216)
Asymmetric unit:
Nd 0.0000 0.0000 0.0000  4 Hg 3.33, 4 Sn 3.33
Tl 0.0000 0.0000 0.5000  4 Hg 3.33, 4 Sn 3.33
Sn 0.2500 0.2500 0.2500  4 Tl 3.33, 4 Nd 3.33
Hg 0.2500 0.2500 0.7500  4 Tl 3.33, 4 Nd 3.33

---

Entry 15:
Entry from the Alexandria database: an optimized crystal structure of NdYSnHg (PBE).

## Properties
ΔH_f (0 K) in meV per atom: -596
D(E_F) in states/eV/cell: 15.0
Energy above the most stable polymorph in this dataset in eV per atom: 0.0000

Unit cell a=7.5997 b=7.5997 c=7.5997 alpha=90.00 beta=90.00 gamma=90.00
Last column: nearest neighbours and their distance in Å.
Space group F-43m (No. 216)
Asymmetric unit:
Nd 0.0000 0.0000 0.0000  4 Hg 3.29, 4 Sn 3.29
Y 0.0000 0.0000 0.5000  4 Sn 3.29, 4 Hg 3.29
Sn 0.2500 0.2500 0.2500  4 Nd 3.29, 4 Y 3.29
Hg 0.2500 0.2500 0.7500  4 Nd 3.29, 4 Y 3.29

---

Entry 16:
Entry from the Alexandria database: an optimized crystal structure of Nd2YSn2Hg2 (PBE).

## Properties
ΔH_f (0 K) in meV per atom: -336
D(E_F) in states/eV/cell: 17.2

Unit cell a=4.9948 b=4.9948 c=27.6687 alpha=90.00 beta=90.00 gamma=120.00
Last column: nearest neighbours and their distance in Å.
Space group R-3m (No. 166, hexagonal axes)
Asymmetric unit:
Nd 0.0000 0.0000 0.1296  3 Hg 3.06
Y 0.0000 0.0000 0.0000  6 Sn 3.31, 2 Nd 3.59
Sn 0.0000 0.0000 0.2743  3 Hg 3.03, 3 Y 3.31
Hg 0.0000 0.0000 0.4257  3 Sn 3.03, 3 Nd 3.06

---

Entry 17:
Entry from the Alexandria database: an optimized crystal structure of NdYSnHg (PBE).

## Properties
ΔH_f (0 K) in meV per atom: -585
D(E_F) in states/eV/cell: 3.1
Energy above the most stable polymorph in this dataset in eV per atom: 0.0116

Unit cell a=3.8322 b=3.8322 c=7.4905 alpha=90.00 beta=90.00 gamma=90.00
Last column: nearest neighbours and their distance in Å.
Space group P4mm (No. 99)
Asymmetric unit:
Nd 0.0000 0.0000 0.0000  4 Hg 3.35, 4 Sn 3.35, 1 Y 3.69
Y 0.0000 0.0000 0.5073  4 Hg 3.21, 4 Sn 3.27
Sn 0.5000 0.5000 0.2640  4 Y 3.27, 4 Nd 3.35, 1 Hg 3.55
Hg 0.5000 0.5000 0.7377  4 Y 3.21, 4 Nd 3.35, 1 Sn 3.55

---

Entry 18:
Entry from the Alexandria database: an optimized crystal structure of NdZnSnHg (PBE).

## Properties
ΔH_f (0 K) in meV per atom: -276
D(E_F) in states/eV/cell: 13.6

Unit cell a=7.3244 b=7.3244 c=7.3244 alpha=90.00 beta=90.00 gamma=90.00
Last column: nearest neighbours and their distance in Å.
Space group F-43m (No. 216)
Asymmetric unit:
Nd 0.0000 0.0000 0.0000  4 Hg 3.17, 4 Zn 3.17
Zn 0.2500 0.2500 0.7500  4 Sn 3.17, 4 Nd 3.17
Sn 0.0000 0.0000 0.5000  4 Hg 3.17, 4 Zn 3.17
Hg 0.2500 0.2500 0.2500  4 Sn 3.17, 4 Nd 3.17

---

Entry 19:
Entry from the Alexandria database: an optimized crystal structure of Sr2NdHg3 (PBE).

## Properties
ΔH_f (0 K) in meV per atom: -510
D(E_F) in states/eV/cell: 20.1
Energy above the most stable polymorph in this dataset in eV per atom: 0.0034

Unit cell a=5.5520 b=16.6554 c=7.9575 alpha=90.00 beta=90.02 gamma=90.00
Last column: nearest neighbours and their distance in Å.
Space group C2/m (No. 12)
Asymmetric unit:
Sr 0.0000 0.0000 0.0000  8 Hg 3.46-3.56
Sr 0.0000 0.0000 0.5000  8 Hg 3.36-3.40
Sr 0.0000 0.3338 0.0000  8 Hg 3.45-3.50
Nd 0.0000 0.3344 0.5000  8 Hg 3.29-3.35
Hg 0.9998 0.1711 0.2675  3 Nd 3.29-3.34, 5 Sr 3.40-3.56
Hg 0.0009 0.5000 0.7388  2 Nd 3.35, 6 Sr 3.36-3.47

---

Entry 20:
Entry from the Alexandria database: an optimized crystal structure of Sr2Nd2Hg3 (PBE).

## Properties
ΔH_f (0 K) in meV per atom: -345
D(E_F) in states/eV/cell: 13.0

Unit cell a=9.5888 b=5.5408 c=9.3597 alpha=90.00 beta=110.09 gamma=90.00
Last column: nearest neighbours and their distance in Å.
Space group C2/m (No. 12)
Asymmetric unit:
Sr 0.1225 0.0000 0.3681  7 Hg 3.40-3.56
Nd 0.1252 0.5000 0.8736  5 Hg 3.11-3.32
Hg 0.0000 0.5000 0.5000  2 Nd 3.28, 6 Sr 3.40
Hg 0.2422 0.5000 0.2274  4 Nd 3.11-3.32, 3 Sr 3.43